Here is a relaxed structure of HfIn2Br7 from Alexandria. Energies are from GGA-PBE.

The total energy comes out at -3.67 eV per atom. The formation energy (no corrections) comes out at -0.953 eV per atom. The calculation puts the total moment at 0.00 μB per formula unit. The value obtained for the density of states at the Fermi level is 0.335 states/eV/atom. The volume is 41.2 A^3/atom.

a b c (Å): 17.302 10.951 11.918
angles (deg): 90.00 133.14 90.00
Space group C2/c (No. 15)
One atom of each set of equivalent atoms:
Hf  0.000  0.050  0.250 [4 per cell]
In  0.205  0.447  0.362 [8 per cell]
Br  0.000  0.480  0.250 [4 per cell]
Br  0.082  0.153  0.509 [8 per cell]
Br  0.127  0.134  0.919 [8 per cell]
Br  0.174  0.136  0.319 [8 per cell]